1.
SrYMn2P | GGA-PBEsol | relaxed Values from VASP.

```
&SYSTEM
  ibrav = 0, nat = 5, ntyp = 4
/
ATOMIC_SPECIES
Mn 54.94 Mn.upf
Y 88.91 Y.upf
Sr 87.62 Sr.upf
P 30.97 P.upf
CELL_PARAMETERS angstrom
-0.414 4.765 0.826
-2.246 -0.924 4.203
4.723 -0.026 2.518
ATOMIC_POSITIONS crystal
Mn 0.000 0.500 0.000
Y 0.500 0.500 0.500
Sr 0.000 0.000 0.000
Mn 0.500 0.000 0.000
P 0.000 0.000 0.500
```

Values from the calculation:
**Calculated total energy**: -5.489 eV per atom
**Density**: 4.2 g cm⁻³


2.
Ta2MnP | GGA-PBEsol | relaxed Values from VASP.

```
&SYSTEM
  ibrav = 0, nat = 4, ntyp = 3
/
ATOMIC_SPECIES
P 30.97 P.upf
Ta 180.95 Ta.upf
Mn 54.94 Mn.upf
CELL_PARAMETERS angstrom
3.243 0.000 0.000
0.000 3.243 0.000
0.000 0.000 5.600
ATOMIC_POSITIONS crystal
P 0.500 0.500 0.748
Ta 0.500 0.500 0.277
Mn 0.000 0.000 0.507
Ta 0.000 0.000 0.968
```

Values from the calculation:
**Calculated total energy**: -10.419 eV per atom
**Density**: 12.6 g cm⁻³


3.
TaMn2P | GGA-PBEsol | relaxed Values from VASP.

```
&SYSTEM
  ibrav = 0, nat = 4, ntyp = 3
/
ATOMIC_SPECIES
P 30.97 P.upf
Mn 54.94 Mn.upf
Ta 180.95 Ta.upf
CELL_PARAMETERS angstrom
3.697 0.000 0.000
0.000 3.697 0.000
0.000 0.000 3.705
ATOMIC_POSITIONS crystal
P 0.500 0.500 0.500
Mn 0.500 0.000 0.000
Ta 0.000 0.000 0.500
Mn 0.000 0.500 0.000
```

Values from the calculation:
**Calculated total energy**: -9.690 eV per atom
**Density**: 10.6 g cm⁻³


4.
TaMnP | GGA-PBEsol | relaxed Values from VASP.

```
&SYSTEM
  ibrav = 0, nat = 3, ntyp = 3
/
ATOMIC_SPECIES
Ta 180.95 Ta.upf
P 30.97 P.upf
Mn 54.94 Mn.upf
CELL_PARAMETERS angstrom
-2.373 0.752 -3.209
1.411 -0.617 -3.758
-1.437 -3.076 -2.229
ATOMIC_POSITIONS crystal
Ta 0.250 0.250 0.250
P 0.500 0.500 0.500
Mn 0.000 0.000 0.000
```

Values from the calculation:
**Calculated total energy**: -9.054 eV per atom
**Density**: 9.4 g cm⁻³


What is the calculated total energy in the second record?
-10.419 eV per atom